# 1
The following is a DFT calculation (SCAN) of SmYIn2 at its PBEsol-relaxed geometry.

abc: 5.2738 5.2738 5.2738
angles: 60.00 60.00 60.00
Fractional coordinates of all 4 atoms:
Sm 0.0000 0.0000 0.0000
Y 0.5000 0.5000 0.5000
In 0.2500 0.2500 0.2500
In 0.7500 0.7500 0.7500

Summary:
ΔE_f: -0.66 eV/atom
magnetic moment: 0.00 μB/f.u.

=====

# 2
The following is a DFT calculation (SCAN) of SmZnIn at its PBEsol-relaxed geometry.

abc: 4.6316 4.6316 7.3260
angles: 90.00 90.00 120.00
Fractional coordinates of all 6 atoms:
Sm 0.0000 0.0000 0.0000
Sm 0.0000 0.0000 0.5000
Zn 0.3333 0.6667 0.2500
Zn 0.6667 0.3333 0.7500
In 0.3333 0.6667 0.7500
In 0.6667 0.3333 0.2500

Summary:
ΔE_f: -0.59 eV/atom
magnetic moment: 0.00 μB/f.u.

=====

# 3
The following is a DFT calculation (SCAN) of InSn3 at its PBEsol-relaxed geometry.

abc: 6.6166 6.6166 5.4578
angles: 90.00 90.00 120.00
Fractional coordinates of all 8 atoms:
In 0.3333 0.6667 0.2500
In 0.6667 0.3333 0.7500
Sn 0.1668 0.3336 0.7500
Sn 0.1668 0.8332 0.7500
Sn 0.3336 0.1668 0.2500
Sn 0.6664 0.8332 0.7500
Sn 0.8332 0.1668 0.2500
Sn 0.8332 0.6664 0.2500

Summary:
ΔE_f: 0.18 eV/atom
magnetic moment: 0.00 μB/f.u.

=====

# 4
The following is a DFT calculation (SCAN) of InSn3 at its PBEsol-relaxed geometry.

abc: 3.2841 3.2841 11.0984
angles: 90.00 90.00 120.00
Fractional coordinates of all 4 atoms:
In 0.0000 0.0000 0.0000
Sn 0.0000 0.0000 0.5000
Sn 0.3333 0.6667 0.2506
Sn 0.3333 0.6667 0.7494

Summary:
ΔE_f: 0.18 eV/atom
magnetic moment: 0.00 μB/f.u.

=====

# 5
The following is a DFT calculation (SCAN) of InSn4 at its PBEsol-relaxed geometry.

abc: 13.9275 13.9275 2.9916
angles: 90.00 90.00 166.84
Fractional coordinates of all 5 atoms:
In 0.0000 0.0000 0.0000
Sn 0.1995 0.8005 0.0000
Sn 0.4005 0.5995 0.0000
Sn 0.5995 0.4005 0.0000
Sn 0.8005 0.1995 0.0000

Summary:
ΔE_f: 0.08 eV/atom
magnetic moment: 0.00 μB/f.u.

=====

# 6
The following is a DFT calculation (SCAN) of In3Sn at its PBEsol-relaxed geometry.

abc: 4.6774 4.6774 4.6774
angles: 90.00 90.00 90.00
Fractional coordinates of all 4 atoms:
In 0.0000 0.0000 0.5000
In 0.0000 0.5000 0.0000
In 0.5000 0.0000 0.0000
Sn 0.5000 0.5000 0.5000

Summary:
ΔE_f: 0.11 eV/atom
magnetic moment: 0.00 μB/f.u.

=====

# 7
The following is a DFT calculation (SCAN) of InSn3 at its PBEsol-relaxed geometry.

abc: 4.7044 4.7044 4.7044
angles: 90.00 90.00 90.00
Fractional coordinates of all 4 atoms:
In 0.0000 0.0000 0.0000
Sn 0.0000 0.5000 0.5000
Sn 0.5000 0.0000 0.5000
Sn 0.5000 0.5000 0.0000

Summary:
ΔE_f: 0.18 eV/atom
magnetic moment: 0.00 μB/f.u.

=====

# 8
The following is a DFT calculation (SCAN) of Sr2InSn at its PBEsol-relaxed geometry.

abc: 5.6310 5.6310 5.6310
angles: 60.00 60.00 60.00
Fractional coordinates of all 4 atoms:
Sr 0.2500 0.2500 0.2500
Sr 0.7500 0.7500 0.7500
In 0.0000 0.0000 0.0000
Sn 0.5000 0.5000 0.5000

Summary:
ΔE_f: -0.62 eV/atom
magnetic moment: 0.00 μB/f.u.

=====

# 9
The following is a DFT calculation (SCAN) of SrIn2Sn2 at its PBEsol-relaxed geometry.

abc: 7.6279 7.6279 7.6279
angles: 144.62 144.62 50.90
Fractional coordinates of all 5 atoms:
Sr 0.0000 0.0000 0.0000
In 0.2500 0.7500 0.5000
In 0.7500 0.2500 0.5000
Sn 0.3929 0.3929 0.0000
Sn 0.6071 0.6071 0.0000

Summary:
ΔE_f: -0.30 eV/atom
magnetic moment: 0.00 μB/f.u.

=====

# 10
The following is a DFT calculation (SCAN) of Tb2In3Sn3 at its PBEsol-relaxed geometry.

abc: 4.5702 4.7007 9.0287
angles: 90.00 90.00 90.00
Fractional coordinates of all 8 atoms:
Tb 0.0000 0.0000 0.2470
Tb 0.0000 0.0000 0.7530
In 0.0000 0.5000 0.5000
In 0.5000 0.5000 0.2527
In 0.5000 0.5000 0.7473
Sn 0.0000 0.5000 0.0000
Sn 0.5000 0.0000 0.0000
Sn 0.5000 0.0000 0.5000

Summary:
ΔE_f: -0.52 eV/atom
magnetic moment: 0.00 μB/f.u.

=====

# 11
The following is a DFT calculation (SCAN) of InTcSn3 at its PBEsol-relaxed geometry.

abc: 5.3981 5.3981 5.3981
angles: 90.00 90.00 90.00
Fractional coordinates of all 5 atoms:
In 0.0000 0.0000 0.0000
Tc 0.5000 0.5000 0.5000
Sn 0.0000 0.0000 0.5000
Sn 0.0000 0.5000 0.0000
Sn 0.5000 0.0000 0.0000

Summary:
ΔE_f: 1.43 eV/atom
magnetic moment: 4.14 μB/f.u.

=====

# 12
The following is a DFT calculation (SCAN) of InSnTe3 at its PBEsol-relaxed geometry.

abc: 5.5554 5.5554 5.5554
angles: 90.00 90.00 90.00
Fractional coordinates of all 5 atoms:
In 0.0000 0.0000 0.0000
Sn 0.5000 0.5000 0.5000
Te 0.0000 0.0000 0.5000
Te 0.0000 0.5000 0.0000
Te 0.5000 0.0000 0.0000

Summary:
magnetic moment: 0.00 μB/f.u.

=====

# 13
The following is a DFT calculation (SCAN) of InSn2Te3 at its PBEsol-relaxed geometry.

abc: 4.4112 4.4112 10.7797
angles: 90.00 90.00 120.00
Fractional coordinates of all 6 atoms:
In 0.0000 0.0000 0.0000
Sn 0.3333 0.6667 0.6690
Sn 0.6667 0.3333 0.3310
Te 0.0000 0.0000 0.5000
Te 0.3333 0.6667 0.1651
Te 0.6667 0.3333 0.8349

Summary:
magnetic moment: 0.00 μB/f.u.

=====

# 14
The following is a DFT calculation (SCAN) of Th2In3Sn3 at its PBEsol-relaxed geometry.

abc: 4.6702 4.7381 9.2314
angles: 90.00 90.00 90.00
Fractional coordinates of all 8 atoms:
Th 0.0000 0.0000 0.2468
Th 0.0000 0.0000 0.7532
In 0.0000 0.5000 0.5000
In 0.5000 0.5000 0.2549
In 0.5000 0.5000 0.7451
Sn 0.0000 0.5000 0.0000
Sn 0.5000 0.0000 0.0000
Sn 0.5000 0.0000 0.5000

Summary:
ΔE_f: -0.44 eV/atom
magnetic moment: 0.00 μB/f.u.

=====

# 15
The following is a DFT calculation (SCAN) of TlIn2Sn2 at its PBEsol-relaxed geometry.

abc: 8.8487 8.8487 3.4452
angles: 90.00 90.00 90.00
Fractional coordinates of all 10 atoms:
Tl 0.0000 0.0000 0.0000
Tl 0.5000 0.5000 0.0000
In 0.1527 0.3473 0.5000
In 0.3473 0.8473 0.5000
In 0.6527 0.1527 0.5000
In 0.8473 0.6527 0.5000
Sn 0.1437 0.6437 0.0000
Sn 0.3563 0.1437 0.0000
Sn 0.6437 0.8563 0.0000
Sn 0.8563 0.3563 0.0000

Summary:
ΔE_f: 0.09 eV/atom
magnetic moment: 0.00 μB/f.u.
energy above the most stable polymorph in this dataset: 5.2 kJ/mol of atoms

=====

# 16
The following is a DFT calculation (SCAN) of TlInSn2 at its PBEsol-relaxed geometry.

abc: 5.3046 5.3046 5.3046
angles: 60.00 60.00 60.00
Fractional coordinates of all 4 atoms:
Tl 0.0000 0.0000 0.0000
In 0.5000 0.5000 0.5000
Sn 0.2500 0.2500 0.2500
Sn 0.7500 0.7500 0.7500

Summary:
ΔE_f: 0.16 eV/atom
magnetic moment: 0.00 μB/f.u.
energy above the most stable polymorph in this dataset: 4.8 kJ/mol of atoms

=====

# 17
The following is a DFT calculation (SCAN) of TlIn2Sn2 at its PBEsol-relaxed geometry.

abc: 6.7560 6.7560 6.7560
angles: 135.75 135.75 64.36
Fractional coordinates of all 5 atoms:
Tl 0.0000 0.0000 0.0000
In 0.2500 0.7500 0.5000
In 0.7500 0.2500 0.5000
Sn 0.3781 0.3781 0.0000
Sn 0.6219 0.6219 0.0000

Summary:
ΔE_f: 0.04 eV/atom
magnetic moment: 0.00 μB/f.u.
energy above the most stable polymorph in this dataset: 0.0 kJ/mol of atoms

=====

# 18
The following is a DFT calculation (SCAN) of TlInSn2 at its PBEsol-relaxed geometry.

abc: 11.7196 11.7196 11.7196
angles: 158.37 158.37 30.77
Fractional coordinates of all 8 atoms:
Tl 0.0000 0.0000 0.0000
Tl 0.7500 0.2500 0.5000
In 0.2500 0.7500 0.5000
In 0.5000 0.5000 0.0000
Sn 0.1268 0.6250 0.0018
Sn 0.3750 0.3768 0.5018
Sn 0.6232 0.1250 0.9982
Sn 0.8750 0.8732 0.4982

Summary:
ΔE_f: 0.11 eV/atom
magnetic moment: 0.00 μB/f.u.
energy above the most stable polymorph in this dataset: 0.0 kJ/mol of atoms

=====

# 19
The following is a DFT calculation (SCAN) of U2In3Sn3 at its PBEsol-relaxed geometry.

abc: 4.5418 4.6537 8.8389
angles: 90.00 90.00 90.00
Fractional coordinates of all 8 atoms:
U 0.0000 0.0000 0.2457
U 0.0000 0.0000 0.7543
In 0.0000 0.5000 0.5000
In 0.5000 0.5000 0.2533
In 0.5000 0.5000 0.7467
Sn 0.0000 0.5000 0.0000
Sn 0.5000 0.0000 0.0000
Sn 0.5000 0.0000 0.5000

Summary:
ΔE_f: -0.02 eV/atom
magnetic moment: 5.17 μB/f.u.

=====

# 20
The following is a DFT calculation (SCAN) of InSnW3 at its PBEsol-relaxed geometry.

abc: 4.8266 4.8266 4.8266
angles: 90.00 90.00 90.00
Fractional coordinates of all 5 atoms:
In 0.0000 0.0000 0.0000
Sn 0.5000 0.5000 0.5000
W 0.0000 0.0000 0.5000
W 0.0000 0.5000 0.0000
W 0.5000 0.0000 0.0000

Summary:
ΔE_f: 2.95 eV/atom
magnetic moment: 0.00 μB/f.u.

=====

For the records above, the corresponding electronic total energy values read -35.429 -31.036 -35.111 -35.104 -35.330 -33.914 -35.108 -29.089 -32.483 -38.202 -33.814 -35.822 -36.385 -50.411 -42.101 -44.235 -42.155 -44.285 -51.894 -52.729 eV/atom.